First-principles (GGA-PBE) data for a geometry-optimized Ac6Pm8Nd structure, as listed in Alexandria.

abc: 9.5638 9.5638 22.0394
angles: 90.00 90.00 120.00
Last column: nearest neighbours and their distance in Å.
Space group R-3 (No. 148, hexagonal axes)
Asymmetric unit:
Ac (0.0513, 0.8004, 0.2099)  4 Pm 3.54-3.87, 1 Nd 3.64, 2 Ac 3.80
Pm (0.0000, 0.0000, 0.0747)  4 Pm 3.29-3.60
Pm (0.0807, 0.5134, 0.3068)  3 Ac 3.54-3.87, 5 Pm 3.60-3.65, 1 Nd 3.74
Nd (0.0000, 0.0000, 0.5000)  6 Ac 3.64, 6 Pm 3.74

Output
- Volume: 581.9 Å³/f.u.
- Energy of formation from the pure elements: 0.120 eV per atom